[1]
## CaMg2Sn (GGA-PBE)

Data for a relaxed structure of CaMg2Sn.

Output
The value obtained for the density of states at the Fermi level is 2.404 states/eV per cell. The formation enthalpy at 0 K is 0.13 eV per atom. Its space group is R-3m, No. 166.

Unit cell a=3.436 b=3.436 c=11.559 alpha=81.45 beta=81.45 gamma=60.00
Atoms (fractional coordinates):
1 Mg 0.096 0.096 0.712
2 Mg 0.904 0.904 0.288
3 Ca 0.000 0.000 0.000
4 Sn 0.500 0.500 0.500

---

[2]
## PrSmCu4 (GGA-PBE)

Data for a relaxed structure of PrSmCu4.

Output
The value obtained for the density of states at the Fermi level is 3.770 states/eV per cell. The formation enthalpy at 0 K is -0.08 eV per atom. Its space group is F-43m, No. 216. Its energy relative to the lowest polymorph listed for this composition is 12.5 kJ per mole of atoms.

Unit cell a=5.361 b=5.361 c=5.361 alpha=60.00 beta=60.00 gamma=60.00
Atoms (fractional coordinates):
1 Pr 0.000 0.000 0.000
2 Cu 0.624 0.624 0.127
3 Cu 0.624 0.127 0.624
4 Cu 0.624 0.624 0.624
5 Cu 0.127 0.624 0.624
6 Sm 0.250 0.250 0.250

---

[3]
## Th5TcPb2 (GGA-PBE)

Data for a relaxed structure of Th5TcPb2.

Output
The value obtained for the density of states at the Fermi level is 33.785 states/eV per cell. The formation enthalpy at 0 K is -0.27 eV per atom. Its space group is Pnma, No. 62. Its energy relative to the lowest polymorph listed for this composition is 0.0 kJ per mole of atoms.

Unit cell a=8.310 b=9.175 c=12.707 alpha=90.00 beta=90.00 gamma=90.00
Atoms (fractional coordinates):
1 Th 0.041 0.250 0.502
2 Th 0.959 0.750 0.498
3 Th 0.541 0.750 0.998
4 Th 0.459 0.250 0.002
5 Th 0.313 0.956 0.563
6 Th 0.687 0.044 0.437
7 Th 0.813 0.044 0.937
8 Th 0.687 0.456 0.437
9 Th 0.187 0.956 0.063
10 Th 0.313 0.544 0.563
11 Th 0.187 0.544 0.063
12 Th 0.813 0.456 0.937
13 Th 0.147 0.250 0.801
14 Th 0.853 0.750 0.199
15 Th 0.647 0.750 0.699
16 Th 0.353 0.250 0.301
17 Th 0.617 0.250 0.696
18 Th 0.383 0.750 0.304
19 Th 0.117 0.750 0.804
20 Th 0.883 0.250 0.196
21 Tc 0.410 0.250 0.521
22 Tc 0.590 0.750 0.479
23 Tc 0.910 0.750 0.979
24 Tc 0.090 0.250 0.021
25 Pb 0.419 0.510 0.824
26 Pb 0.581 0.490 0.176
27 Pb 0.919 0.490 0.676
28 Pb 0.581 0.010 0.176
29 Pb 0.081 0.510 0.324
30 Pb 0.419 0.990 0.824
31 Pb 0.081 0.990 0.324
32 Pb 0.919 0.010 0.676

---

[4]
## Al3Cu2Pd8 (GGA-PBE)

Data for a relaxed structure of Al3Cu2Pd8.

Output
The value obtained for the density of states at the Fermi level is 7.049 states/eV per cell. The formation enthalpy at 0 K is -0.14 eV per atom. Its space group is R-3m, No. 166.

Unit cell a=5.250 b=5.250 c=9.425 alpha=73.83 beta=73.83 gamma=60.00
Atoms (fractional coordinates):
1 Al 0.000 0.000 0.000
2 Al 0.811 0.811 0.567
3 Al 0.189 0.189 0.433
4 Cu 0.631 0.631 0.107
5 Cu 0.369 0.369 0.893
6 Pd 0.722 0.722 0.835
7 Pd 0.278 0.278 0.165
8 Pd 0.220 0.720 0.341
9 Pd 0.720 0.220 0.341
10 Pd 0.720 0.720 0.341
11 Pd 0.280 0.780 0.659
12 Pd 0.780 0.280 0.659
13 Pd 0.280 0.280 0.659

---

[5]
## La4Pt2Au3 (GGA-PBE)

Data for a relaxed structure of La4Pt2Au3.

Output
The value obtained for the density of states at the Fermi level is 5.652 states/eV per cell. The formation enthalpy at 0 K is -0.90 eV per atom. Its space group is P-3m1, No. 164.

Unit cell a=4.999 b=4.999 c=10.342 alpha=89.98 beta=89.99 gamma=59.98
Atoms (fractional coordinates):
1 La 0.667 0.667 0.882
2 La 0.000 0.000 0.339
3 La 0.000 0.000 0.661
4 La 0.333 0.333 0.118
5 Pt 0.334 0.334 0.807
6 Pt 0.666 0.666 0.193
7 Au 0.333 0.333 0.507
8 Au 0.000 0.000 0.000
9 Au 0.667 0.667 0.493

---

[6]
## NaHo2Lu (GGA-PBE)

Data for a relaxed structure of NaHo2Lu.

Output
The value obtained for the density of states at the Fermi level is 4.171 states/eV per cell. The formation enthalpy at 0 K is 0.14 eV per atom. Its space group is P4/mmm, No. 123. Its energy relative to the lowest polymorph listed for this composition is 0.0 kJ per mole of atoms.

Unit cell a=3.482 b=3.482 c=10.487 alpha=90.00 beta=90.00 gamma=90.00
Atoms (fractional coordinates):
1 Na 0.500 0.500 0.500
2 Lu 0.500 0.500 0.000
3 Ho 0.000 0.000 0.772
4 Ho 0.000 0.000 0.228

---

[7]
## TaMnCl3 (GGA-PBE)

Data for a relaxed structure of TaMnCl3.

Output
The value obtained for the density of states at the Fermi level is 8.904 states/eV per cell. Its uncorrected formation energy is 87 kJ/mol of atoms. Its space group is Pm-3m, No. 221. Its energy relative to the lowest polymorph listed for this composition is 80.9 kJ per mole of atoms.

Unit cell a=4.499 b=4.499 c=4.499 alpha=90.00 beta=90.00 gamma=90.00
Atoms (fractional coordinates):
1 Cl 0.000 0.500 0.000
2 Cl 0.000 0.000 0.500
3 Cl 0.500 0.000 0.000
4 Mn 0.000 0.000 0.000
5 Ta 0.500 0.500 0.500

---

[8]
## Pt4RhAu (GGA-PBE)

Data for a relaxed structure of Pt4RhAu.

Output
The value obtained for the density of states at the Fermi level is 40.482 states/eV per cell. The formation enthalpy at 0 K is 0.17 eV per atom. Its space group is P2_1/c, No. 14. Its energy relative to the lowest polymorph listed for this composition is 0.0 kJ per mole of atoms.

Unit cell a=5.533 b=8.931 c=8.435 alpha=74.78 beta=90.00 gamma=90.00
Atoms (fractional coordinates):
1 Pt 0.490 0.403 0.896
2 Pt 0.990 0.097 0.104
3 Pt 0.510 0.597 0.104
4 Pt 0.010 0.903 0.896
5 Pt 0.995 0.396 0.907
6 Pt 0.495 0.104 0.093
7 Pt 0.005 0.604 0.093
8 Pt 0.505 0.896 0.907
9 Pt 0.208 0.475 0.601
10 Pt 0.708 0.025 0.399
11 Pt 0.792 0.525 0.399
12 Pt 0.292 0.975 0.601
13 Pt 0.501 0.733 0.501
14 Pt 0.001 0.767 0.499
15 Pt 0.499 0.267 0.499
16 Pt 0.999 0.233 0.501
17 Rh 0.251 0.677 0.795
18 Rh 0.751 0.823 0.205
19 Rh 0.749 0.323 0.205
20 Rh 0.249 0.177 0.795
21 Au 0.752 0.678 0.786
22 Au 0.252 0.822 0.214
23 Au 0.248 0.322 0.214
24 Au 0.748 0.178 0.786